# 1
Compound: Co2BPN
Source: Alexandria via LeMat-Bulk
Functional: GGA-PBE
Structure: relaxed

Summary:
**ΔE_f (raw)**: 0.416 eV/atom
**Total moment**: 0.85 μB per cell
**DOS at the Fermi energy**: 4.61 states/eV per cell
**V**: 9.8 Å³/atom

Unit cell a=4.2195 b=4.2195 c=2.7482 alpha=90.00 beta=90.00 gamma=90.00
Last column: nearest neighbours and their distance in Å.
Space group P4/mmm (No. 123)
Asymmetric unit:
Co 0.0000 0.5000 0.0000 (multiplicity 2)  2 B 2.11
B 0.0000 0.0000 0.0000 (multiplicity 1)  2 N 1.37
P 0.5000 0.5000 0.5000 (multiplicity 1)  8 Co 2.52, 2 P 2.75
N 0.0000 0.0000 0.5000 (multiplicity 1)  2 B 1.37

=====

# 2
Compound: Y2SiCl
Source: Alexandria via LeMat-Bulk
Functional: GGA-PBE
Structure: relaxed

Summary:
**ΔE_f (raw)**: -0.894 eV/atom
**Total moment**: 0.00 μB per cell
**DOS at the Fermi energy**: 13.37 states/eV per cell
**V**: 22.5 Å³/atom

Unit cell a=7.1139 b=7.1139 c=7.1139 alpha=90.00 beta=90.00 gamma=90.00
Last column: nearest neighbours and their distance in Å.
Space group Fm-3m (No. 225)
Asymmetric unit:
Y 0.2500 0.2500 0.2500 (multiplicity 8)  4 Cl 3.08, 4 Si 3.08
Si 0.0000 0.0000 0.0000 (multiplicity 4)  8 Y 3.08
Cl 0.0000 0.0000 0.5000 (multiplicity 4)  8 Y 3.08

=====

The highest DOS at the Fermi energy belongs to which entry?
Y2SiCl